(1)
First-principles (PBE) data for an optimized crystal structure of Sm2Ga3Sn, as listed in the Alexandria database.

abc: 8.7424 8.6661 6.0844
angles: 70.22 68.87 40.91
Last column: nearest neighbours and their distance in Å.
Fractional coordinates of all 12 atoms:
Sm 0.2486 0.7514 0.7514  10 Ga 3.22-3.32, 2 Sn 3.29
Sm 0.2500 0.2500 0.2500  4 Sn 3.29, 8 Ga 3.32-3.33
Sm 0.7500 0.7500 0.7500  4 Sn 3.29, 8 Ga 3.32-3.33
Sm 0.7514 0.2486 0.2486  10 Ga 3.22-3.32, 2 Sn 3.29
Ga 0.1790 0.6601 0.3399  2 Ga 2.43, 1 Sn 2.62
Ga 0.3398 0.3398 0.6602  2 Ga 2.43, 1 Sn 2.61
Ga 0.3399 0.8210 0.1790  2 Ga 2.43, 1 Sn 2.62
Ga 0.6601 0.1790 0.8210  2 Ga 2.43, 1 Sn 2.62
Ga 0.6602 0.6602 0.3398  2 Ga 2.43, 1 Sn 2.61
Ga 0.8210 0.3399 0.6601  2 Ga 2.43, 1 Sn 2.62
Sn 0.1671 0.1671 0.8329  3 Ga 2.61-2.62
Sn 0.8329 0.8329 0.1671  3 Ga 2.61-2.62

Formation energy from the elements = -0.63 eV per atom
Symmetry = Fmmm, No. 69
Volume = 140.0 Å³/f.u.
Density of states at the Fermi level = 0.409 states/eV/atom



(2)
First-principles (PBE) data for an optimized crystal structure of Hg2PtBr, as listed in the Alexandria database.

abc: 4.9952 4.9952 4.9952
angles: 60.00 60.00 60.00
Last column: nearest neighbours and their distance in Å.
Fractional coordinates of all 4 atoms:
Hg 0.0000 0.0000 0.0000  4 Hg 3.06, 4 Br 3.06
Hg 0.2500 0.2500 0.2500  4 Hg 3.06, 4 Pt 3.06
Pt 0.5000 0.5000 0.5000  4 Hg 3.06, 4 Br 3.06
Br 0.7500 0.7500 0.7500  4 Pt 3.06, 4 Hg 3.06

Symmetry = F-43m, No. 216
Volume = 88.1 Å³/f.u.
Uncorrected formation energy = 0.45 eV per atom
Density of states at the Fermi level = 0.990 states/eV/atom



(3)
First-principles (PBE) data for an optimized crystal structure of LiTcP, as listed in the Alexandria database.

abc: 2.8149 3.7894 4.5640
angles: 90.00 90.00 90.00
Last column: nearest neighbours and their distance in Å.
Fractional coordinates of all 3 atoms:
Li 0.0000 0.0000 0.0000  4 P 2.68, 2 Li 2.81, 4 Tc 2.97
Tc 0.0000 0.5000 0.5000  4 P 2.36
P 0.5000 0.0000 0.5000  4 Tc 2.36

Formation energy from the elements = -0.11 eV per atom
Symmetry = Pmmm, No. 47
Volume = 48.7 Å³/f.u.
Density of states at the Fermi level = 0.619 states/eV/atom



(4)
First-principles (PBE) data for an optimized crystal structure of CeMn5P3, as listed in the Alexandria database.

abc: 6.2136 6.2136 11.0778
angles: 90.00 90.00 145.07
Last column: nearest neighbours and their distance in Å.
Fractional coordinates of all 18 atoms:
Ce 0.1662 0.8338 0.7500  6 P 2.97-3.17, 4 Mn 3.27
Ce 0.8338 0.1662 0.2500  6 P 2.97-3.17, 4 Mn 3.27
Mn 0.0000 0.0000 0.0000  6 Mn 2.38-2.56, 4 P 2.41
Mn 0.0000 0.0000 0.5000  6 Mn 2.38-2.56, 4 P 2.41
Mn 0.1926 0.8074 0.0606  4 P 2.22-2.37, 1 Mn 2.38
Mn 0.1926 0.8074 0.4394  4 P 2.22-2.37, 1 Mn 2.38
Mn 0.4492 0.5508 0.6493  1 Mn 2.23, 4 P 2.31-2.33
Mn 0.4492 0.5508 0.8507  1 Mn 2.23, 4 P 2.31-2.33
Mn 0.5508 0.4492 0.1493  1 Mn 2.23, 4 P 2.31-2.33
Mn 0.5508 0.4492 0.3507  1 Mn 2.23, 4 P 2.31-2.33
Mn 0.8074 0.1926 0.5606  4 P 2.22-2.37, 1 Mn 2.38
Mn 0.8074 0.1926 0.9394  4 P 2.22-2.37, 1 Mn 2.38
P 0.1173 0.8827 0.2500  6 Mn 2.28-2.31
P 0.3794 0.6206 0.0469  7 Mn 2.22-2.41
P 0.3794 0.6206 0.4531  7 Mn 2.22-2.41
P 0.6206 0.3794 0.5469  7 Mn 2.22-2.41
P 0.6206 0.3794 0.9531  7 Mn 2.22-2.41
P 0.8827 0.1173 0.7500  6 Mn 2.28-2.31

Formation energy from the elements = -0.67 eV per atom
Symmetry = Cmcm, No. 63
Volume = 122.4 Å³/f.u.
Density of states at the Fermi level = 1.010 states/eV/atom



(5)
First-principles (PBE) data for an optimized crystal structure of LiHPb2, as listed in the Alexandria database.

abc: 4.8269 4.8269 4.8269
angles: 60.00 60.00 60.00
Last column: nearest neighbours and their distance in Å.
Fractional coordinates of all 4 atoms:
Li 0.0000 0.0000 0.0000  8 Pb 2.96
H 0.5000 0.5000 0.5000  8 Pb 2.96
Pb 0.2500 0.2500 0.2500  4 H 2.96, 4 Li 2.96
Pb 0.7500 0.7500 0.7500  4 H 2.96, 4 Li 2.96

Symmetry = Fm-3m, No. 225
Volume = 79.5 Å³/f.u.
Total energy = -2.88 eV per atom
Density of states at the Fermi level = 0.236 states/eV/atom



(6)
First-principles (PBE) data for an optimized crystal structure of ZnTeS4, as listed in the Alexandria database.

abc: 7.5073 7.5073 7.5073
angles: 132.03 117.68 82.30
Last column: nearest neighbours and their distance in Å.
Fractional coordinates of all 12 atoms:
Zn 0.5000 0.0000 0.0000  6 S 2.46-2.72
Zn 0.5000 0.5000 0.5000  6 S 2.46-2.72
Te 0.0000 0.0000 0.0000  6 S 2.64-2.77
Te 0.5000 0.0000 0.5000  6 S 2.64-2.77
S 0.2357 0.2336 0.0021  2 Zn 2.46, 1 Te 2.64
S 0.2622 0.3338 0.5716  1 S 2.18
S 0.2622 0.6905 0.9284  1 S 2.18
S 0.2685 0.7664 0.5021  2 Zn 2.46, 1 Te 2.64
S 0.7315 0.2336 0.4979  2 Zn 2.46, 1 Te 2.64
S 0.7378 0.3095 0.0716  1 S 2.18
S 0.7378 0.6662 0.4284  1 S 2.18
S 0.7643 0.7664 0.9979  2 Zn 2.46, 1 Te 2.64

Symmetry = Imma, No. 74
Volume = 134.0 Å³/f.u.
Uncorrected formation energy = 0.11 eV per atom
Density of states at the Fermi level = 0.293 states/eV/atom



> Look up the volume of the fourth one.

122.4 Å³/f.u.